Entry 1:
# La2NdTe2Se2 PBE-GGA optimized geometry
data_La2NdTe2Se2
_chemical_formula_sum 'La4 Nd2 Te4 Se4'
_cell_length_a 5.498
_cell_length_b 5.498
_cell_length_c 16.208
_cell_angle_alpha 90.00
_cell_angle_beta 90.00
_cell_angle_gamma 90.00
_space_group_name_H-M_alt 'I 4/m m m'
_space_group_IT_number 139
_space_group_name_Hall '-I 4 2'
loop_
_atom_site_label
_atom_site_fract_x
_atom_site_fract_y
_atom_site_fract_z
La1 0.000 0.000 0.117
Nd1 0.000 0.000 0.500
Te1 0.000 0.000 0.311
Se1 0.000 0.500 0.000
# D(E_F), states/eV/f.u.: 2.994
# E_tot, eV/atom: -5.407
# Size of the total moment, μB per formula unit: 0.55

Entry 2:
# La2Nd2Te2Se3 PBE-GGA optimized geometry
data_La2Nd2Te2Se3
_chemical_formula_sum 'La4 Nd4 Te4 Se6'
_cell_length_a 5.796
_cell_length_b 5.796
_cell_length_c 16.246
_cell_angle_alpha 90.00
_cell_angle_beta 90.00
_cell_angle_gamma 90.00
_space_group_name_H-M_alt 'I 4/m m m'
_space_group_IT_number 139
_space_group_name_Hall '-I 4 2'
loop_
_atom_site_label
_atom_site_fract_x
_atom_site_fract_y
_atom_site_fract_z
La1 0.000 0.000 0.196
Nd1 0.000 0.500 0.000
Te1 0.000 0.000 0.395
Se1 0.000 0.000 0.000
Se2 0.000 0.500 0.250
# D(E_F), states/eV/f.u.: 4.814
# E_tot, eV/atom: -5.576
# Size of the total moment, μB per formula unit: 0.00

Entry 3:
# La3Nd4ThSe8 PBE-GGA optimized geometry
data_La3Nd4ThSe8
_chemical_formula_sum 'La9 Nd12 Th3 Se24'
_cell_length_a 8.5291
_cell_length_b 8.5291
_cell_length_c 20.7956
_cell_angle_alpha 90.00
_cell_angle_beta 90.00
_cell_angle_gamma 120.00
_space_group_name_H-M_alt 'R -3 m'
_space_group_IT_number 166
_space_group_name_Hall '-R 3 2"'
loop_
_atom_site_label
_atom_site_fract_x
_atom_site_fract_y
_atom_site_fract_z
La1 0.0000 0.5000 0.0000
Nd1 0.0000 0.0000 0.5000
Nd2 0.0000 0.5000 0.5000
Th1 0.0000 0.0000 0.0000
Se1 0.0000 0.0000 0.2484
Se2 0.0035 0.5018 0.7508
# D(E_F), states/eV/f.u.: 11.096
# E_tot, eV/atom: -6.180
# Size of the total moment, μB per formula unit: 0.00

Entry 4:
# LaNdTh2Se4 PBE-GGA optimized geometry
data_LaNdTh2Se4
_chemical_formula_sum 'La1 Nd1 Th2 Se4'
_cell_length_a 7.263
_cell_length_b 4.254
_cell_length_c 7.383
_cell_angle_alpha 90.00
_cell_angle_beta 109.56
_cell_angle_gamma 90.00
_space_group_name_H-M_alt 'P 1 2/m 1'
_space_group_IT_number 10
loop_
_space_group_symop_operation_xyz
'x,y,z'
'-x,-y,-z'
'-x,y,-z'
'x,-y,z'
loop_
_atom_site_label
_atom_site_fract_x
_atom_site_fract_y
_atom_site_fract_z
La1 0.000 0.000 0.000
Nd1 0.500 0.500 0.000
Th1 0.000 0.500 0.500
Th2 0.500 0.000 0.500
Se1 0.252 0.000 0.749
Se2 0.253 0.500 0.253
# D(E_F), states/eV/f.u.: 5.264
# E_tot, eV/atom: -6.530
# Size of the total moment, μB per formula unit: 0.00

Entry 5:
# LaNd2ThSe4 PBE-GGA optimized geometry
data_LaNd2ThSe4
_chemical_formula_sum 'La1 Nd2 Th1 Se4'
_cell_length_a 7.351
_cell_length_b 4.224
_cell_length_c 7.366
_cell_angle_alpha 90.00
_cell_angle_beta 109.32
_cell_angle_gamma 90.00
_space_group_name_H-M_alt 'P 1 2/m 1'
_space_group_IT_number 10
loop_
_space_group_symop_operation_xyz
'x,y,z'
'-x,-y,-z'
'-x,y,-z'
'x,-y,z'
loop_
_atom_site_label
_atom_site_fract_x
_atom_site_fract_y
_atom_site_fract_z
La1 0.000 0.000 0.000
Nd1 0.000 0.500 0.500
Nd2 0.500 0.000 0.500
Th1 0.500 0.500 0.000
Se1 0.252 0.000 0.749
Se2 0.254 0.500 0.253
# D(E_F), states/eV/f.u.: 4.362
# E_tot, eV/atom: -6.276
# Size of the total moment, μB per formula unit: 0.00

Entry 6:
# LaNd4Th3Se8 PBE-GGA optimized geometry
data_LaNd4Th3Se8
_chemical_formula_sum 'La3 Nd12 Th9 Se24'
_cell_length_a 8.4023
_cell_length_b 8.4023
_cell_length_c 20.9674
_cell_angle_alpha 90.00
_cell_angle_beta 90.00
_cell_angle_gamma 120.00
_space_group_name_H-M_alt 'R -3 m'
_space_group_IT_number 166
_space_group_name_Hall '-R 3 2"'
loop_
_atom_site_label
_atom_site_fract_x
_atom_site_fract_y
_atom_site_fract_z
La1 0.0000 0.0000 0.0000
Nd1 0.0000 0.0000 0.5000
Nd2 0.0000 0.5000 0.5000
Th1 0.0000 0.5000 0.0000
Se1 0.0000 0.0000 0.2497
Se2 0.0025 0.5013 0.2494
# D(E_F), states/eV/f.u.: 7.970
# E_tot, eV/atom: -6.375
# Size of the total moment, μB per formula unit: 0.00

Entry 7:
# LaNdTl2Se4 PBE-GGA optimized geometry
data_LaNdTl2Se4
_chemical_formula_sum 'La1 Nd1 Tl2 Se4'
_cell_length_a 7.581
_cell_length_b 4.376
_cell_length_c 8.126
_cell_angle_alpha 90.00
_cell_angle_beta 108.10
_cell_angle_gamma 90.00
_space_group_name_H-M_alt 'P 1 2/m 1'
_space_group_IT_number 10
loop_
_space_group_symop_operation_xyz
'x,y,z'
'-x,-y,-z'
'-x,y,-z'
'x,-y,z'
loop_
_atom_site_label
_atom_site_fract_x
_atom_site_fract_y
_atom_site_fract_z
La1 0.000 0.000 0.000
Nd1 0.500 0.500 0.000
Tl1 0.000 0.500 0.500
Tl2 0.500 0.000 0.500
Se1 0.241 0.500 0.211
Se2 0.266 0.000 0.789
# D(E_F), states/eV/f.u.: 0.000
# E_tot, eV/atom: -4.964
# Size of the total moment, μB per formula unit: 0.00

Entry 8:
# La3NdTl4Se8 PBE-GGA optimized geometry
data_La3NdTl4Se8
_chemical_formula_sum 'La9 Nd3 Tl12 Se24'
_cell_length_a 8.8027
_cell_length_b 8.8027
_cell_length_c 23.1235
_cell_angle_alpha 90.00
_cell_angle_beta 90.00
_cell_angle_gamma 120.00
_space_group_name_H-M_alt 'R -3 m'
_space_group_IT_number 166
_space_group_name_Hall '-R 3 2"'
loop_
_atom_site_label
_atom_site_fract_x
_atom_site_fract_y
_atom_site_fract_z
La1 0.0000 0.5000 0.0000
Nd1 0.0000 0.0000 0.0000
Tl1 0.0000 0.0000 0.5000
Tl2 0.0000 0.5000 0.5000
Se1 0.0000 0.0000 0.2628
Se2 0.0034 0.5017 0.7370
# D(E_F), states/eV/f.u.: 0.000
# E_tot, eV/atom: -4.994
# Size of the total moment, μB per formula unit: 0.00